# 1
A plane-wave DFT calculation with GGA-PBE was carried out for a relaxed AlW2Br crystal.

Cell lengths 6.7875, 6.7875, 6.7875 Å; angles 152.20, 142.96, 46.94 degrees
With the nearest neighbours (Å) after each atom.
Element x y z (fractional)
Br: 0.7992 0.2992 0.5000  6 W 3.07-3.26, 2 Br 3.26
W: 0.0077 0.0077 0.0000  2 W 2.44
W: 0.1534 0.6534 0.5000  2 W 2.44, 2 Al 2.58
Al: 0.5396 0.5396 0.0000  6 W 2.58-2.73

Output
**Energy above the lowest structure with this stoichiometry**: 0.2285 eV per atom
**Size of the total moment**: 0.00 μB/f.u.
**Formation energy without anion corrections**: 606 meV/atom
**DOS at the Fermi energy**: 0.171 states/eV per atom

# 2
A plane-wave DFT calculation with GGA-PBE was carried out for a relaxed Al2WBr crystal.

Cell lengths 4.9689, 4.9689, 4.9689 Å; angles 130.21, 130.21, 73.07 degrees
With the nearest neighbours (Å) after each atom.
Element x y z (fractional)
Br: 0.5000 0.5000 0.0000  4 W 2.89, 8 Al 2.89-2.96
W: 0.7500 0.2500 0.5000  4 Br 2.89, 8 Al 2.89-2.96
Al: 0.0000 0.0000 0.0000  4 Al 2.89, 4 W 2.89, 4 Br 2.96
Al: 0.2500 0.7500 0.5000  4 Br 2.89, 4 Al 2.89, 4 W 2.96

Output
**Energy above the lowest structure with this stoichiometry**: 0.7942 eV per atom
**Size of the total moment**: 0.81 μB/f.u.
**Formation energy without anion corrections**: 877 meV/atom
**DOS at the Fermi energy**: 0.708 states/eV per atom

# 3
A plane-wave DFT calculation with GGA-PBE was carried out for a relaxed AlW2Br crystal.

Cell lengths 3.3039, 3.3039, 6.8554 Å; angles 90.00, 90.00, 90.00 degrees
With the nearest neighbours (Å) after each atom.
Element x y z (fractional)
Br: 0.5000 0.5000 0.7500  8 W 3.21, 4 Br 3.30, 2 Al 3.43
W: 0.0000 0.0000 0.0715  1 W 2.45, 4 Al 2.64
W: 0.0000 0.0000 0.4285  1 W 2.45, 4 Al 2.64
Al: 0.5000 0.5000 0.2500  8 W 2.64

Output
**Energy above the lowest structure with this stoichiometry**: 0.3478 eV per atom
**Size of the total moment**: 0.00 μB/f.u.
**Formation energy without anion corrections**: 726 meV/atom
**DOS at the Fermi energy**: 0.553 states/eV per atom

# 4
A plane-wave DFT calculation with GGA-PBE was carried out for a relaxed AlWBr2 crystal.

Cell lengths 3.3667, 3.3667, 9.9628 Å; angles 90.00, 90.00, 124.17 degrees
With the nearest neighbours (Å) after each atom.
Element x y z (fractional)
Br: 0.0000 0.0000 0.9300  2 Al 2.52
Br: 0.5000 0.5000 0.3171  2 W 2.56
W: 0.0000 0.0000 0.5198  2 Br 2.56, 2 Al 2.65
Al: 0.5000 0.5000 0.7332  2 Br 2.52, 2 W 2.65

Output
**Energy above the lowest structure with this stoichiometry**: 0.2442 eV per atom
**Size of the total moment**: 0.91 μB/f.u.
**Formation energy without anion corrections**: 215 meV/atom
**DOS at the Fermi energy**: 0.307 states/eV per atom

# 5
A plane-wave DFT calculation with GGA-PBE was carried out for a relaxed AlW2Br crystal.

Cell lengths 2.9674, 2.9674, 8.9137 Å; angles 90.00, 90.00, 114.76 degrees
With the nearest neighbours (Å) after each atom.
Element x y z (fractional)
Br: 0.5000 0.5000 0.7521  2 W 2.86, 2 Al 2.86, 6 Br 2.97-3.20
W: 0.0000 0.0000 0.0176  2 W 2.58, 2 Br 2.86
W: 0.5000 0.5000 0.2449  2 W 2.58, 2 Al 2.67
Al: 0.0000 0.0000 0.4854  2 W 2.67, 2 Br 2.86, 4 Al 2.97

Output
**Energy above the lowest structure with this stoichiometry**: 0.1395 eV per atom
**Size of the total moment**: 0.00 μB/f.u.
**Formation energy without anion corrections**: 517 meV/atom
**DOS at the Fermi energy**: 0.651 states/eV per atom

# 6
A plane-wave DFT calculation with GGA-PBE was carried out for a relaxed AlWBr crystal.

Cell lengths 6.5261, 6.5261, 6.5261 Å; angles 152.49, 152.49, 39.30 degrees
With the nearest neighbours (Å) after each atom.
Element x y z (fractional)
Br: 0.3008 0.3008 0.0000  4 W 2.78, 4 Br 3.10
W: 0.6614 0.6614 0.0000  4 Al 2.67, 4 Br 2.78
Al: 0.0378 0.0378 0.0000  4 W 2.67

Output
**Energy above the lowest structure with this stoichiometry**: 0.1484 eV per atom
**Size of the total moment**: 0.00 μB/f.u.
**Formation energy without anion corrections**: 632 meV/atom
**DOS at the Fermi energy**: 0.805 states/eV per atom

# 7
A plane-wave DFT calculation with GGA-PBE was carried out for a relaxed AlW2Br crystal.

Cell lengths 8.5251, 8.5251, 8.5251 Å; angles 21.58, 21.58, 21.58 degrees
With the nearest neighbours (Å) after each atom.
Element x y z (fractional)
Br: 0.7530 0.7530 0.7530  3 Al 2.79, 3 W 3.02
W: 0.9906 0.9906 0.9906  3 W 2.56
W: 0.2530 0.2530 0.2530  3 W 2.56, 3 Al 2.77
Al: 0.5034 0.5034 0.5034  3 W 2.77, 3 Br 2.79

Output
**Energy above the lowest structure with this stoichiometry**: 0.0258 eV per atom
**Size of the total moment**: 0.00 μB/f.u.
**Formation energy without anion corrections**: 404 meV/atom
**DOS at the Fermi energy**: 0.401 states/eV per atom

# 8
A plane-wave DFT calculation with GGA-PBE was carried out for a relaxed AlW2Br crystal.

Cell lengths 3.1671, 3.1671, 8.0214 Å; angles 90.00, 90.00, 90.00 degrees
With the nearest neighbours (Å) after each atom.
Element x y z (fractional)
Br: 0.5000 0.5000 0.8066  4 W 2.96, 4 Br 3.17
W: 0.0000 0.0000 0.0475  4 W 2.69, 1 Al 2.93, 4 Br 2.96
W: 0.5000 0.5000 0.2326  4 Al 2.67, 4 W 2.69
Al: 0.0000 0.0000 0.4132  5 W 2.67-2.93

Output
**Energy above the lowest structure with this stoichiometry**: 0.0000 eV per atom
**Size of the total moment**: 0.00 μB/f.u.
**Formation energy without anion corrections**: 378 meV/atom
**DOS at the Fermi energy**: 0.517 states/eV per atom

# 9
A plane-wave DFT calculation with GGA-PBE was carried out for a relaxed Al3WBr crystal.

Cell lengths 5.0719, 5.0719, 5.0719 Å; angles 90.00, 90.00, 90.00 degrees
With the nearest neighbours (Å) after each atom.
Element x y z (fractional)
Br: 0.5000 0.5000 0.5000  12 Al 3.59
W: 0.0000 0.0000 0.0000  6 Al 2.54
Al: 0.0000 0.5000 0.0000  2 W 2.54
Al: 0.0000 0.0000 0.5000  2 W 2.54
Al: 0.5000 0.0000 0.0000  2 W 2.54

Output
**Energy above the lowest structure with this stoichiometry**: 0.0000 eV per atom
**Size of the total moment**: 2.21 μB/f.u.
**Formation energy without anion corrections**: 775 meV/atom
**DOS at the Fermi energy**: 1.424 states/eV per atom

# 10
A plane-wave DFT calculation with GGA-PBE was carried out for a relaxed Al2WBr crystal.

Cell lengths 2.9427, 4.5721, 5.5114 Å; angles 90.00, 90.00, 90.00 degrees
With the nearest neighbours (Å) after each atom.
Element x y z (fractional)
Br: 0.0000 0.0000 0.4385  6 Al 2.67-2.84, 2 Br 2.94
W: 0.5000 0.5000 0.8184  5 Al 2.59-2.82
Al: 0.0000 0.0000 0.9547  2 Br 2.67-2.84, 4 W 2.82, 2 Al 2.94
Al: 0.5000 0.5000 0.2884  1 W 2.59, 4 Br 2.84

Output
**Energy above the lowest structure with this stoichiometry**: 0.5009 eV per atom
**Size of the total moment**: 0.00 μB/f.u.
**Formation energy without anion corrections**: 584 meV/atom
**DOS at the Fermi energy**: 0.519 states/eV per atom

# 11
A plane-wave DFT calculation with GGA-PBE was carried out for a relaxed AlWBr crystal.

Cell lengths 4.5525, 4.5525, 2.9309 Å; angles 90.00, 90.00, 120.00 degrees
With the nearest neighbours (Å) after each atom.
Element x y z (fractional)
Br: 0.3333 0.6667 0.4998  3 W 2.63, 2 Br 2.93
W: 0.6667 0.3333 0.5002  3 Br 2.63, 2 W 2.93
Al: 0.0000 0.0000 0.0000  2 Al 2.93, 6 Br 3.01, 6 W 3.01

Output
**Energy above the lowest structure with this stoichiometry**: 0.2414 eV per atom
**Size of the total moment**: 0.00 μB/f.u.
**Formation energy without anion corrections**: 725 meV/atom
**DOS at the Fermi energy**: 0.818 states/eV per atom

# 12
A plane-wave DFT calculation with GGA-PBE was carried out for a relaxed AlWBr2 crystal.

Cell lengths 9.6970, 9.6970, 9.6970 Å; angles 19.32, 19.32, 19.32 degrees
With the nearest neighbours (Å) after each atom.
Element x y z (fractional)
Br: 0.0261 0.0261 0.0261  3 Al 2.62
Br: 0.2238 0.2238 0.2238  3 W 2.62
W: 0.4932 0.4932 0.4932  3 Br 2.62, 3 Al 2.74
Al: 0.7569 0.7569 0.7569  3 Br 2.62, 3 W 2.74

Output
**Energy above the lowest structure with this stoichiometry**: 0.0000 eV per atom
**Size of the total moment**: 0.00 μB/f.u.
**Formation energy without anion corrections**: -29 meV/atom
**DOS at the Fermi energy**: 0.748 states/eV per atom

# 13
A plane-wave DFT calculation with GGA-PBE was carried out for a relaxed AlW4Br crystal.

Cell lengths 5.3578, 5.3578, 5.3578 Å; angles 60.00, 60.00, 60.00 degrees
With the nearest neighbours (Å) after each atom.
Element x y z (fractional)
Al: 0.7500 0.7500 0.7500  12 W 3.14, 4 Br 3.28
W: 0.8779 0.3740 0.3740  6 W 2.66-2.70
W: 0.3740 0.3740 0.8779  6 W 2.66-2.70
W: 0.3740 0.8779 0.3740  6 W 2.66-2.70
W: 0.3740 0.3740 0.3740  6 W 2.66-2.70
Br: 0.0000 0.0000 0.0000  12 W 3.14, 4 Al 3.28

Output
**Size of the total moment**: 0.00 μB/f.u.
**Formation energy without anion corrections**: 1018 meV/atom
**DOS at the Fermi energy**: 0.785 states/eV per atom

# 14
A plane-wave DFT calculation with GGA-PBE was carried out for a relaxed Al2WBr crystal.

Cell lengths 4.9843, 4.9843, 2.8929 Å; angles 90.00, 90.00, 90.00 degrees
With the nearest neighbours (Å) after each atom.
Element x y z (fractional)
Br: 0.5000 0.0000 0.5000  8 Al 2.88, 2 Br 2.89
W: 0.0000 0.5000 0.5000  8 Al 2.88, 2 W 2.89
Al: 0.0000 0.0000 0.0000  4 W 2.88, 4 Br 2.88, 2 Al 2.89
Al: 0.5000 0.5000 0.0000  4 W 2.88, 4 Br 2.88, 2 Al 2.89

Output
**Energy above the lowest structure with this stoichiometry**: 0.3325 eV per atom
**Size of the total moment**: 0.70 μB/f.u.
**Formation energy without anion corrections**: 416 meV/atom
**DOS at the Fermi energy**: 0.459 states/eV per atom

# 15
A plane-wave DFT calculation with GGA-PBE was carried out for a relaxed AlWBr crystal.

Cell lengths 4.4861, 4.4861, 4.4861 Å; angles 60.00, 60.00, 60.00 degrees
With the nearest neighbours (Å) after each atom.
Element x y z (fractional)
Br: 0.0000 0.0000 0.0000  4 Al 2.75
W: 0.5000 0.5000 0.5000  4 Al 2.75
Al: 0.7500 0.7500 0.7500  4 Br 2.75, 4 W 2.75

Output
**Energy above the lowest structure with this stoichiometry**: 1.1214 eV per atom
**Size of the total moment**: 0.00 μB/f.u.
**Formation energy without anion corrections**: 1605 meV/atom
**DOS at the Fermi energy**: 1.411 states/eV per atom